(1)
VASP calculation (PBE-GGA) on a geometry-optimized Cd2CoPb2 structure.

E = -12.54 eV/f.u.
offset from the most stable computed form = 327 meV per atom
Fermi-level density of states = 3.94 states/eV/cell
energy of formation = 763 meV per atom
calculated density = 8.3 g/cm3
M_tot = 1.976 Bohr magnetons per cell

```
data_Cd2CoPb2
_chemical_formula_sum 'Cd2 Co1 Pb2'
_cell_length_a 7.943
_cell_length_b 7.943
_cell_length_c 7.943
_cell_angle_alpha 148.02
_cell_angle_beta 148.02
_cell_angle_gamma 45.86
_symmetry_space_group_name_H-M 'P 1'
_symmetry_Int_Tables_number 1
_symmetry_space_group_name_Hall 'P 1'
loop_
_atom_site_label
_atom_site_type_symbol
_atom_site_fract_x
_atom_site_fract_y
_atom_site_fract_z
_atom_site_occupancy
Cd1 Cd 0.091 0.091 0.000 1
Cd2 Cd 0.909 0.909 0.000 1
Co1 Co 0.500 0.500 0.000 1
Pb1 Pb 0.250 0.750 0.500 1
Pb2 Pb 0.750 0.250 0.500 1
```

***

(2)
VASP calculation (PBE-GGA) on a geometry-optimized AlAgMo2 structure.

E = -27.91 eV/f.u.
Fermi-level density of states = 1.79 states/eV/cell
energy of formation = 86 meV per atom
calculated density = 8.4 g/cm3
M_tot = 0.000 Bohr magnetons per cell

```
data_AlAgMo2
_chemical_formula_sum 'Al1 Ag1 Mo2'
_cell_length_a 2.770
_cell_length_b 2.770
_cell_length_c 8.945
_cell_angle_alpha 90.00
_cell_angle_beta 90.00
_cell_angle_gamma 109.38
_symmetry_space_group_name_H-M 'P 1'
_symmetry_Int_Tables_number 1
_symmetry_space_group_name_Hall 'P 1'
loop_
_atom_site_label
_atom_site_type_symbol
_atom_site_fract_x
_atom_site_fract_y
_atom_site_fract_z
_atom_site_occupancy
Al1 Al 0.000 0.000 0.000 1
Ag1 Ag 0.500 0.500 0.752 1
Mo1 Mo 0.000 0.000 0.479 1
Mo2 Mo 0.500 0.500 0.239 1
```

***

(3)
VASP calculation (PBE-GGA) on a geometry-optimized NiHg4Cl structure.

E = -6.11 eV/f.u.
ΔE_f (raw) = 0.454 eV/atom
Fermi-level density of states = 10.24 states/eV/cell
calculated density = 10.0 g/cm3
M_tot = 0.982 Bohr magnetons per cell

```
data_NiHg4Cl
_chemical_formula_sum 'Ni1 Hg4 Cl1'
_cell_length_a 5.956
_cell_length_b 5.956
_cell_length_c 5.956
_cell_angle_alpha 60.00
_cell_angle_beta 60.00
_cell_angle_gamma 60.00
_symmetry_space_group_name_H-M 'P 1'
_symmetry_Int_Tables_number 1
_symmetry_space_group_name_Hall 'P 1'
loop_
_atom_site_label
_atom_site_type_symbol
_atom_site_fract_x
_atom_site_fract_y
_atom_site_fract_z
_atom_site_occupancy
Ni1 Ni 0.000 0.000 0.000 1
Hg1 Hg 0.375 0.375 0.375 1
Hg2 Hg 0.375 0.375 0.876 1
Hg3 Hg 0.375 0.876 0.375 1
Hg4 Hg 0.876 0.375 0.375 1
Cl1 Cl 0.750 0.750 0.750 1
```

***

(4)
VASP calculation (PBE-GGA) on a geometry-optimized Ba2TbZn2O6 structure.

E = -64.40 eV/f.u.
ΔE_f (raw) = -2.147 eV/atom
Fermi-level density of states = 7.77 states/eV/cell
calculated density = 5.7 g/cm3
M_tot = 1.061 Bohr magnetons per cell

```
data_Ba2TbZn2O6
_chemical_formula_sum 'Ba2 Tb1 Zn2 O6'
_cell_length_a 6.884
_cell_length_b 6.884
_cell_length_c 6.884
_cell_angle_alpha 52.84
_cell_angle_beta 52.84
_cell_angle_gamma 52.84
_symmetry_space_group_name_H-M 'P 1'
_symmetry_Int_Tables_number 1
_symmetry_space_group_name_Hall 'P 1'
loop_
_atom_site_label
_atom_site_type_symbol
_atom_site_fract_x
_atom_site_fract_y
_atom_site_fract_z
_atom_site_occupancy
Ba1 Ba 0.210 0.210 0.210 1
Ba2 Ba 0.790 0.790 0.790 1
Tb1 Tb 0.000 0.000 0.000 1
Zn1 Zn 0.421 0.421 0.421 1
Zn2 Zn 0.579 0.579 0.579 1
O1 O 0.228 0.755 0.755 1
O2 O 0.245 0.245 0.772 1
O3 O 0.245 0.772 0.245 1
O4 O 0.755 0.228 0.755 1
O5 O 0.755 0.755 0.228 1
O6 O 0.772 0.245 0.245 1
```

***

(5)
VASP calculation (PBE-GGA) on a geometry-optimized GaNi6Pt2 structure.

E = -49.60 eV/f.u.
Fermi-level density of states = 11.11 states/eV/cell
energy of formation = 22 meV per atom
calculated density = 11.8 g/cm3
M_tot = 3.598 Bohr magnetons per cell

```
data_GaNi6Pt2
_chemical_formula_sum 'Ga1 Ni6 Pt2'
_cell_length_a 4.870
_cell_length_b 4.870
_cell_length_c 5.577
_cell_angle_alpha 90.14
_cell_angle_beta 90.14
_cell_angle_gamma 59.95
_symmetry_space_group_name_H-M 'P 1'
_symmetry_Int_Tables_number 1
_symmetry_space_group_name_Hall 'P 1'
loop_
_atom_site_label
_atom_site_type_symbol
_atom_site_fract_x
_atom_site_fract_y
_atom_site_fract_z
_atom_site_occupancy
Ga1 Ga 0.000 0.000 0.000 1
Ni1 Ni 0.173 0.173 0.333 1
Ni2 Ni 0.173 0.655 0.332 1
Ni3 Ni 0.345 0.827 0.668 1
Ni4 Ni 0.655 0.173 0.332 1
Ni5 Ni 0.827 0.345 0.668 1
Ni6 Ni 0.827 0.827 0.667 1
Pt1 Pt 0.334 0.334 0.893 1
Pt2 Pt 0.666 0.666 0.107 1
```

***

(6)
VASP calculation (PBE-GGA) on a geometry-optimized Sr12Zn6Cd structure.

E = -31.19 eV/f.u.
Fermi-level density of states = 23.13 states/eV/cell
energy of formation = -129 meV per atom
calculated density = 3.6 g/cm3
M_tot = 2.059 Bohr magnetons per cell

```
data_Sr12Zn6Cd
_chemical_formula_sum 'Sr12 Zn6 Cd1'
_cell_length_a 9.795
_cell_length_b 9.795
_cell_length_c 9.795
_cell_angle_alpha 109.47
_cell_angle_beta 109.47
_cell_angle_gamma 109.47
_symmetry_space_group_name_H-M 'P 1'
_symmetry_Int_Tables_number 1
_symmetry_space_group_name_Hall 'P 1'
loop_
_atom_site_label
_atom_site_type_symbol
_atom_site_fract_x
_atom_site_fract_y
_atom_site_fract_z
_atom_site_occupancy
Sr1 Sr 0.109 0.295 0.814 1
Sr2 Sr 0.186 0.482 0.295 1
Sr3 Sr 0.186 0.891 0.705 1
Sr4 Sr 0.295 0.186 0.482 1
Sr5 Sr 0.295 0.814 0.109 1
Sr6 Sr 0.482 0.295 0.186 1
Sr7 Sr 0.518 0.705 0.814 1
Sr8 Sr 0.705 0.186 0.891 1
Sr9 Sr 0.705 0.814 0.518 1
Sr10 Sr 0.814 0.109 0.295 1
Sr11 Sr 0.814 0.518 0.705 1
Sr12 Sr 0.891 0.705 0.186 1
Zn1 Zn 0.115 0.500 0.615 1
Zn2 Zn 0.385 0.885 0.500 1
Zn3 Zn 0.500 0.385 0.885 1
Zn4 Zn 0.500 0.615 0.115 1
Zn5 Zn 0.615 0.115 0.500 1
Zn6 Zn 0.885 0.500 0.385 1
Cd1 Cd 0.000 0.000 0.000 1
```

***

(7)
VASP calculation (PBE-GGA) on a geometry-optimized CeZrCo10 structure.

E = -86.93 eV/f.u.
Fermi-level density of states = 16.93 states/eV/cell
energy of formation = -116 meV per atom
calculated density = 8.5 g/cm3
M_tot = 12.150 Bohr magnetons per cell

```
data_CeZrCo10
_chemical_formula_sum 'Ce1 Zr1 Co10'
_cell_length_a 3.977
_cell_length_b 4.824
_cell_length_c 8.366
_cell_angle_alpha 90.00
_cell_angle_beta 90.00
_cell_angle_gamma 90.00
_symmetry_space_group_name_H-M 'P 1'
_symmetry_Int_Tables_number 1
_symmetry_space_group_name_Hall 'P 1'
loop_
_atom_site_label
_atom_site_type_symbol
_atom_site_fract_x
_atom_site_fract_y
_atom_site_fract_z
_atom_site_occupancy
Ce1 Ce 0.000 0.000 0.000 1
Zr1 Zr 0.000 0.500 0.500 1
Co1 Co 0.000 0.000 0.332 1
Co2 Co 0.000 0.000 0.668 1
Co3 Co 0.000 0.500 0.169 1
Co4 Co 0.000 0.500 0.831 1
Co5 Co 0.500 0.000 0.500 1
Co6 Co 0.500 0.260 0.261 1
Co7 Co 0.500 0.260 0.739 1
Co8 Co 0.500 0.500 0.000 1
Co9 Co 0.500 0.740 0.261 1
Co10 Co 0.500 0.740 0.739 1
```

***

(8)
VASP calculation (PBE-GGA) on a geometry-optimized Nb4VSn structure.

E = -52.82 eV/f.u.
Fermi-level density of states = 11.69 states/eV/cell
energy of formation = 97 meV per atom
calculated density = 8.0 g/cm3
M_tot = 0.000 Bohr magnetons per cell

```
data_Nb4VSn
_chemical_formula_sum 'Nb8 V2 Sn2'
_cell_length_a 6.960
_cell_length_b 6.960
_cell_length_c 5.316
_cell_angle_alpha 101.50
_cell_angle_beta 101.50
_cell_angle_gamma 111.51
_symmetry_space_group_name_H-M 'P 1'
_symmetry_Int_Tables_number 1
_symmetry_space_group_name_Hall 'P 1'
loop_
_atom_site_label
_atom_site_type_symbol
_atom_site_fract_x
_atom_site_fract_y
_atom_site_fract_z
_atom_site_occupancy
Nb1 Nb 0.065 0.703 0.931 1
Nb2 Nb 0.188 0.399 0.640 1
Nb3 Nb 0.297 0.935 0.569 1
Nb4 Nb 0.399 0.188 0.140 1
Nb5 Nb 0.601 0.812 0.860 1
Nb6 Nb 0.703 0.065 0.431 1
Nb7 Nb 0.812 0.601 0.360 1
Nb8 Nb 0.935 0.297 0.069 1
V1 V 0.002 0.998 0.250 1
V2 V 0.998 0.002 0.750 1
Sn1 Sn 0.390 0.610 0.250 1
Sn2 Sn 0.610 0.390 0.750 1
```